1.
First-principles (PBE) data for an optimized crystal structure of FeNiMo2, as listed in Alexandria.

Output
Crystal system: tetragonal
DFT total energy in eV/atom: -8.810
Formation energy in meV/atom: 166

a b c (Å): 3.790 3.790 7.514
angles (deg): 90.00 90.00 90.00
Space group I-4m2 (No. 119)
Unique sites:
Fe  0.000  0.000  0.000
Ni  0.000  0.500  0.750
Mo  0.000  0.000  0.500
Mo  0.000  0.500  0.250



2.
First-principles (PBE) data for an optimized crystal structure of AcTmCd4, as listed in Alexandria.

Output
Crystal system: cubic
DFT total energy in eV/atom: -2.283
Formation energy in meV/atom: -243

a b c (Å): 8.568 8.568 8.568
angles (deg): 90.00 90.00 90.00
Space group F-43m (No. 216)
Unique sites:
Ac  0.000  0.000  0.000
Tm  0.250  0.250  0.750
Cd  0.124  0.124  0.376



3.
First-principles (PBE) data for an optimized crystal structure of KSbW2, as listed in Alexandria.

Output
Crystal system: monoclinic
DFT total energy in eV/atom: -6.596
Formation energy from raw total energies in meV per atom: 1185

a b c (Å): 2.826 5.231 6.578
angles (deg): 90.00 91.17 90.00
Space group P2/m (No. 10)
Unique sites:
K  0.000  0.000  0.000
Sb  0.500  0.000  0.500
W  0.365  0.500  0.326



4.
First-principles (PBE) data for an optimized crystal structure of AlTl3Au, as listed in Alexandria.

Output
Crystal system: cubic
DFT total energy in eV/atom: -2.412
Formation energy in meV/atom: 411

a b c (Å): 5.516 5.516 5.516
angles (deg): 90.00 90.00 90.00
Space group Pm-3m (No. 221)
Unique sites:
Al  0.000  0.000  0.000
Tl  0.000  0.500  0.500
Au  0.500  0.500  0.500